1:
Compound: RePt3Rh2
Source: Alexandria via LeMat-Bulk
Functional: PBE
Structure: optimized geometry

The structure in CIF format:
```
data_RePt3Rh2
_symmetry_space_group_name_H-M 'P n n m'
_symmetry_Int_Tables_number 58
_symmetry_space_group_name_Hall '-P 2 2n'
_cell_length_a 8.655
_cell_length_b 9.399
_cell_length_c 2.698
_cell_angle_alpha 90.00
_cell_angle_beta 90.00
_cell_angle_gamma 90.00
loop_
_atom_site_label
_atom_site_type_symbol
_atom_site_fract_x
_atom_site_fract_y
_atom_site_fract_z
Re1 Re 0.000 0.000 0.000
Pt1 Pt 0.000 0.500 0.000
Pt2 Pt 0.020 0.242 0.500
Rh1 Rh 0.246 0.598 0.500
```



2:
Compound: RePt3Rh2
Source: Alexandria via LeMat-Bulk
Functional: PBE
Structure: optimized geometry

The structure in CIF format:
```
data_RePt3Rh2
_symmetry_space_group_name_H-M 'C 1 2/m 1'
_symmetry_Int_Tables_number 12
_symmetry_space_group_name_Hall '-C 2y'
_cell_length_a 13.695
_cell_length_b 2.736
_cell_length_c 10.961
_cell_angle_alpha 90.00
_cell_angle_beta 114.90
_cell_angle_gamma 90.00
loop_
_atom_site_label
_atom_site_type_symbol
_atom_site_fract_x
_atom_site_fract_y
_atom_site_fract_z
Re1 Re 0.072 0.000 0.162
Pt1 Pt 0.044 0.500 0.724
Pt2 Pt 0.106 0.000 0.544
Pt3 Pt 0.250 0.000 0.810
Rh1 Rh 0.131 0.000 0.964
Rh2 Rh 0.177 0.500 0.386
```



Of them, the most stable is 2 and the least stable is 1.



1:
Compound: RePtRh2
Source: Alexandria via LeMat-Bulk
Functional: PBE
Structure: optimized geometry

The structure in CIF format:
```
data_RePtRh2
_symmetry_space_group_name_H-M 'F 2 2 2'
_symmetry_Int_Tables_number 22
_symmetry_space_group_name_Hall 'F 2 2'
_cell_length_a 5.450
_cell_length_b 5.458
_cell_length_c 7.858
_cell_angle_alpha 90.00
_cell_angle_beta 90.00
_cell_angle_gamma 90.00
loop_
_atom_site_label
_atom_site_type_symbol
_atom_site_fract_x
_atom_site_fract_y
_atom_site_fract_z
Re1 Re 0.000 0.000 0.000
Pt1 Pt 0.250 0.250 0.750
Rh1 Rh 0.000 0.000 0.500
Rh2 Rh 0.250 0.250 0.250
```



2:
Compound: RePtRh2
Source: Alexandria via LeMat-Bulk
Functional: PBE
Structure: optimized geometry

The structure in CIF format:
```
data_RePtRh2
_symmetry_space_group_name_H-M 'C 1 2/m 1'
_symmetry_Int_Tables_number 12
_symmetry_space_group_name_Hall '-C 2y'
_cell_length_a 5.482
_cell_length_b 9.286
_cell_length_c 2.693
_cell_angle_alpha 90.00
_cell_angle_beta 119.20
_cell_angle_gamma 90.00
loop_
_atom_site_label
_atom_site_type_symbol
_atom_site_fract_x
_atom_site_fract_y
_atom_site_fract_z
Re1 Re 0.000 0.000 0.000
Pt1 Pt 0.000 0.500 0.000
Rh1 Rh 0.250 0.250 0.500
```



3:
Compound: RePtRh2
Source: Alexandria via LeMat-Bulk
Functional: PBE
Structure: optimized geometry

The structure in CIF format:
```
data_RePtRh2
_symmetry_space_group_name_H-M 'P 4/m m m'
_symmetry_Int_Tables_number 123
_symmetry_space_group_name_Hall '-P 4 2'
_cell_length_a 2.736
_cell_length_b 2.736
_cell_length_c 7.850
_cell_angle_alpha 90.00
_cell_angle_beta 90.00
_cell_angle_gamma 90.00
loop_
_atom_site_label
_atom_site_type_symbol
_atom_site_fract_x
_atom_site_fract_y
_atom_site_fract_z
Re1 Re 0.000 0.000 0.000
Pt1 Pt 0.000 0.000 0.500
Rh1 Rh 0.500 0.500 0.238
```



Of them, the most stable is 3 and the least stable is 2.



1:
Compound: RePt4Rh3
Source: Alexandria via LeMat-Bulk
Functional: PBE
Structure: optimized geometry

The structure in CIF format:
```
data_RePt4Rh3
_symmetry_space_group_name_H-M 'I 4/m m m'
_symmetry_Int_Tables_number 139
_symmetry_space_group_name_Hall '-I 4 2'
_cell_length_a 3.913
_cell_length_b 3.913
_cell_length_c 15.641
_cell_angle_alpha 90.00
_cell_angle_beta 90.00
_cell_angle_gamma 90.00
loop_
_atom_site_label
_atom_site_type_symbol
_atom_site_fract_x
_atom_site_fract_y
_atom_site_fract_z
Re1 Re 0.000 0.000 0.000
Pt1 Pt 0.000 0.500 0.122
Rh1 Rh 0.000 0.000 0.253
Rh2 Rh 0.000 0.000 0.500
```



2:
Compound: RePt4Rh3
Source: Alexandria via LeMat-Bulk
Functional: PBE
Structure: optimized geometry

The structure in CIF format:
```
data_RePt4Rh3
_symmetry_space_group_name_H-M 'I m m m'
_symmetry_Int_Tables_number 71
_symmetry_space_group_name_Hall '-I 2 2'
_cell_length_a 3.892
_cell_length_b 3.916
_cell_length_c 15.727
_cell_angle_alpha 90.00
_cell_angle_beta 90.00
_cell_angle_gamma 90.00
loop_
_atom_site_label
_atom_site_type_symbol
_atom_site_fract_x
_atom_site_fract_y
_atom_site_fract_z
Re1 Re 0.000 0.000 0.000
Pt1 Pt 0.000 0.000 0.253
Pt2 Pt 0.000 0.500 0.119
Rh1 Rh 0.000 0.000 0.500
Rh2 Rh 0.000 0.500 0.382
```



Of them, the most stable is 2 and the least stable is 1.



1:
Compound: RePt2Rh
Source: Alexandria via LeMat-Bulk
Functional: PBE
Structure: optimized geometry

The structure in CIF format:
```
data_RePt2Rh
_symmetry_space_group_name_H-M 'I 4/m m m'
_symmetry_Int_Tables_number 139
_symmetry_space_group_name_Hall '-I 4 2'
_cell_length_a 3.872
_cell_length_b 3.872
_cell_length_c 7.972
_cell_angle_alpha 90.00
_cell_angle_beta 90.00
_cell_angle_gamma 90.00
loop_
_atom_site_label
_atom_site_type_symbol
_atom_site_fract_x
_atom_site_fract_y
_atom_site_fract_z
Re1 Re 0.000 0.000 0.000
Pt1 Pt 0.000 0.500 0.250
Rh1 Rh 0.000 0.000 0.500
```



2:
Compound: RePt2Rh
Source: Alexandria via LeMat-Bulk
Functional: PBE
Structure: optimized geometry

The structure in CIF format:
```
data_RePt2Rh
_symmetry_space_group_name_H-M 'P 4/m m m'
_symmetry_Int_Tables_number 123
_symmetry_space_group_name_Hall '-P 4 2'
_cell_length_a 3.904
_cell_length_b 3.904
_cell_length_c 3.943
_cell_angle_alpha 90.00
_cell_angle_beta 90.00
_cell_angle_gamma 90.00
loop_
_atom_site_label
_atom_site_type_symbol
_atom_site_fract_x
_atom_site_fract_y
_atom_site_fract_z
Re1 Re 0.000 0.000 0.000
Pt1 Pt 0.000 0.500 0.500
Rh1 Rh 0.500 0.500 0.000
```



Of them, the most stable is 1 and the least stable is 2.



1:
Compound: RePt2Rh
Source: Alexandria via LeMat-Bulk
Functional: PBE
Structure: optimized geometry

The structure in CIF format:
```
data_RePt2Rh
_symmetry_space_group_name_H-M 'R -3 m'
_symmetry_Int_Tables_number 166
_symmetry_space_group_name_Hall '-R 3 2"'
_cell_length_a 2.7763
_cell_length_b 2.7763
_cell_length_c 27.1085
_cell_angle_alpha 90.00
_cell_angle_beta 90.00
_cell_angle_gamma 120.00
loop_
_atom_site_label
_atom_site_type_symbol
_atom_site_fract_x
_atom_site_fract_y
_atom_site_fract_z
Re1 Re 0.0000 0.0000 0.0000
Pt1 Pt 0.0000 0.0000 0.2517
Rh1 Rh 0.0000 0.0000 0.5000
```



2:
Compound: RePt2Rh
Source: Alexandria via LeMat-Bulk
Functional: PBE
Structure: optimized geometry

The structure in CIF format:
```
data_RePt2Rh
_symmetry_space_group_name_H-M 'C m m m'
_symmetry_Int_Tables_number 65
_symmetry_space_group_name_Hall '-C 2 2'
_cell_length_a 5.513
_cell_length_b 7.932
_cell_length_c 2.744
_cell_angle_alpha 90.00
_cell_angle_beta 90.00
_cell_angle_gamma 90.00
loop_
_atom_site_label
_atom_site_type_symbol
_atom_site_fract_x
_atom_site_fract_y
_atom_site_fract_z
Re1 Re 0.000 0.000 0.000
Pt1 Pt 0.250 0.250 0.500
Rh1 Rh 0.000 0.500 0.000
```



Of them, the most stable is 1 and the least stable is 2.



1:
Compound: RePt2Rh
Source: Alexandria via LeMat-Bulk
Functional: PBE
Structure: optimized geometry

The structure in CIF format:
```
data_RePt2Rh
_symmetry_space_group_name_H-M 'P 4/m m m'
_symmetry_Int_Tables_number 123
_symmetry_space_group_name_Hall '-P 4 2'
_cell_length_a 2.755
_cell_length_b 2.755
_cell_length_c 7.909
_cell_angle_alpha 90.00
_cell_angle_beta 90.00
_cell_angle_gamma 90.00
loop_
_atom_site_label
_atom_site_type_symbol
_atom_site_fract_x
_atom_site_fract_y
_atom_site_fract_z
Re1 Re 0.000 0.000 0.000
Pt1 Pt 0.500 0.500 0.244
Rh1 Rh 0.000 0.000 0.500
```



2:
Compound: RePt2Rh
Source: Alexandria via LeMat-Bulk
Functional: PBE
Structure: optimized geometry

The structure in CIF format:
```
data_RePt2Rh
_symmetry_space_group_name_H-M 'F m -3 m'
_symmetry_Int_Tables_number 225
_symmetry_space_group_name_Hall '-F 4 2 3'
_cell_length_a 6.258
_cell_length_b 6.258
_cell_length_c 6.258
_cell_angle_alpha 90.00
_cell_angle_beta 90.00
_cell_angle_gamma 90.00
loop_
_atom_site_label
_atom_site_type_symbol
_atom_site_fract_x
_atom_site_fract_y
_atom_site_fract_z
Re1 Re 0.000 0.000 0.000
Pt1 Pt 0.250 0.250 0.250
Rh1 Rh 0.000 0.000 0.500
```



Of them, the most stable is 1 and the least stable is 2.